Version one
{
  "formula": "Zr2BTe",
  "functional": "PBE",
  "state": "optimized geometry",
  "vol_a3_per_cell": 200,
  "m_tot_mub_per_fu": 0.00,
  "cell": [[-3.013, 3.013, 5.497], [3.013, -3.013, 5.497], [3.013, 3.013, -5.497]],
  "species": ["Zr", "Zr", "Zr", "Zr", "B", "B", "Te", "Te"],
  "frac_coords": [[0.037, 0.625, 0.912], [0.375, 0.287, 0.412], [0.713, 0.125, 0.088], [0.875, 0.963, 0.588], [0.000, 0.000, 0.000], [0.750, 0.250, 0.500], [0.250, 0.750, 0.500], [0.500, 0.500, 0.000]]
}

Version two
{
  "formula": "Zr2BTe",
  "functional": "PBE",
  "state": "optimized geometry",
  "vol_a3_per_cell": 79,
  "m_tot_mub_per_fu": 0.00,
  "cell": [[1.830, 1.057, 6.772], [-1.830, 1.057, 6.772], [0.000, -2.114, 6.772]],
  "species": ["Zr", "Zr", "B", "Te"],
  "frac_coords": [[0.228, 0.228, 0.228], [0.772, 0.772, 0.772], [0.500, 0.500, 0.500], [0.000, 0.000, 0.000]]
}

Least stable structure among those shown: version one.